Model P:
VASP calculation (PBE-GGA) on a relaxed Al2CuBr crystal.

Output
N(E_F): 1.03 states/eV/f.u.
Space-group type: Cmmm (65)

Cell lengths 6.976, 7.197, 2.983 Å; angles 90.00, 90.00, 90.00 degrees
Sites, in units of the cell vectors:
Al  0.250  0.250  0.000
Al  0.250  0.750  0.000
Al  0.750  0.250  0.000
Al  0.750  0.750  0.000
Cu  0.000  0.000  0.500
Cu  0.500  0.500  0.500
Br  0.000  0.500  0.500
Br  0.500  0.000  0.500

***

Model Q:
VASP calculation (PBE-GGA) on a relaxed Al2CuBr crystal.

Output
N(E_F): 1.71 states/eV/f.u.
Space-group type: F-43m (216)

Cell lengths 6.845, 6.845, 6.845 Å; angles 90.00, 90.00, 90.00 degrees
Sites, in units of the cell vectors:
Al  0.000  0.000  0.000
Al  0.000  0.500  0.500
Al  0.250  0.250  0.250
Al  0.250  0.750  0.750
Al  0.500  0.000  0.500
Al  0.500  0.500  0.000
Al  0.750  0.250  0.750
Al  0.750  0.750  0.250
Cu  0.000  0.000  0.500
Cu  0.000  0.500  0.000
Cu  0.500  0.000  0.000
Cu  0.500  0.500  0.500
Br  0.250  0.250  0.750
Br  0.250  0.750  0.250
Br  0.750  0.250  0.250
Br  0.750  0.750  0.750

***

Model R:
VASP calculation (PBE-GGA) on a relaxed Al2CuBr crystal.

Output
N(E_F): 1.45 states/eV/f.u.
Space-group type: Pmmm (47)

Cell lengths 3.109, 4.654, 5.245 Å; angles 90.00, 90.00, 90.00 degrees
Sites, in units of the cell vectors:
Al  0.000  0.000  0.000
Al  0.500  0.500  0.000
Cu  0.000  0.500  0.500
Br  0.500  0.000  0.500

***

Model S:
VASP calculation (PBE-GGA) on a relaxed Al2CuBr crystal.

Output
N(E_F): 0.10 states/eV/f.u.
Space-group type: I-42d (122)

Cell lengths 6.157, 6.157, 11.035 Å; angles 90.00, 90.00, 90.00 degrees
Sites, in units of the cell vectors:
Al  0.183  0.250  0.125
Al  0.250  0.683  0.375
Al  0.250  0.817  0.875
Al  0.317  0.250  0.625
Al  0.683  0.750  0.625
Al  0.750  0.183  0.875
Al  0.750  0.317  0.375
Al  0.817  0.750  0.125
Cu  0.000  0.000  0.000
Cu  0.000  0.500  0.250
Cu  0.500  0.000  0.750
Cu  0.500  0.500  0.500
Br  0.000  0.000  0.500
Br  0.000  0.500  0.750
Br  0.500  0.000  0.250
Br  0.500  0.500  0.000

***

Here are the energies relative to the best structure, in meV per atom: model P 54; model Q 315; model R 118; model S 0.

***

Model P:
VASP calculation (PBE-GGA) on a relaxed Al2CuBr crystal.

Output
N(E_F): 2.03 states/eV/f.u.
Space-group type: Cmmm (65)

Cell lengths 4.427, 4.578, 7.189 Å; angles 90.00, 90.00, 90.00 degrees
Sites, in units of the cell vectors:
Al  0.000  0.000  0.202
Al  0.000  0.000  0.798
Al  0.500  0.500  0.202
Al  0.500  0.500  0.798
Cu  0.000  0.500  0.000
Cu  0.500  0.000  0.000
Br  0.000  0.500  0.500
Br  0.500  0.000  0.500

***

Model Q:
VASP calculation (PBE-GGA) on a relaxed Al2CuBr crystal.

Output
N(E_F): 1.87 states/eV/f.u.
Space-group type: P2/m (10)

Cell lengths 5.039, 3.242, 5.317 Å; angles 90.00, 115.86, 90.00 degrees
Sites, in units of the cell vectors:
Al  0.222  0.000  0.265
Al  0.778  0.000  0.735
Cu  0.000  0.500  0.500
Br  0.500  0.500  0.000

***

Here are the energies relative to the best structure, in meV per atom: model P 0; model Q 119.

***

Model P:
VASP calculation (PBE-GGA) on a relaxed AlCu2Br crystal.

Output
N(E_F): 1.18 states/eV/f.u.
Space-group type: C2/m (12)

Cell lengths 7.257, 4.152, 6.226 Å; angles 90.00, 110.30, 90.00 degrees
Sites, in units of the cell vectors:
Al  0.000  0.000  0.000
Al  0.500  0.500  0.000
Cu  0.142  0.500  0.915
Cu  0.358  0.000  0.085
Cu  0.642  0.000  0.915
Cu  0.858  0.500  0.085
Br  0.000  0.500  0.500
Br  0.500  0.000  0.500

***

Model Q:
VASP calculation (PBE-GGA) on a relaxed AlCu2Br crystal.

Output
N(E_F): 1.09 states/eV/f.u.
Space-group type: Pmmm (47)

Cell lengths 3.280, 3.306, 6.323 Å; angles 90.00, 90.00, 90.00 degrees
Sites, in units of the cell vectors:
Al  0.000  0.000  0.000
Cu  0.500  0.500  0.193
Cu  0.500  0.500  0.807
Br  0.000  0.000  0.500

***

Model R:
VASP calculation (PBE-GGA) on a relaxed AlCu2Br crystal.

Output
N(E_F): 1.27 states/eV/f.u.
Space-group type: Cmmm (65)

Cell lengths 3.269, 5.665, 7.756 Å; angles 90.00, 90.00, 90.00 degrees
Sites, in units of the cell vectors:
Al  0.000  0.000  0.000
Al  0.500  0.500  0.000
Cu  0.000  0.500  0.239
Cu  0.000  0.500  0.761
Cu  0.500  0.000  0.239
Cu  0.500  0.000  0.761
Br  0.000  0.000  0.500
Br  0.500  0.500  0.500

***

Here are the energies relative to the best structure, in meV per atom: model P 0; model Q 178; model R 220.

***

Model P:
VASP calculation (PBE-GGA) on a relaxed AlCu2Br crystal.

Output
N(E_F): 0.52 states/eV/f.u.
Space-group type: R3m (160)

Cell lengths 3.275, 3.275, 22.694 Å; angles 90.00, 90.00, 120.00 degrees
Sites, in units of the cell vectors:
Al  0.000  0.000  0.000
Al  0.333  0.667  0.667
Al  0.667  0.333  0.333
Cu  0.000  0.000  0.262
Cu  0.000  0.000  0.524
Cu  0.333  0.667  0.190
Cu  0.333  0.667  0.929
Cu  0.667  0.333  0.595
Cu  0.667  0.333  0.857
Br  0.000  0.000  0.752
Br  0.333  0.667  0.418
Br  0.667  0.333  0.085

***

Model Q:
VASP calculation (PBE-GGA) on a relaxed AlCu2Br crystal.

Output
N(E_F): 1.41 states/eV/f.u.
Space-group type: Fm-3m (225)

Cell lengths 6.563, 6.563, 6.563 Å; angles 90.00, 90.00, 90.00 degrees
Sites, in units of the cell vectors:
Al  0.000  0.000  0.000
Al  0.000  0.500  0.500
Al  0.500  0.000  0.500
Al  0.500  0.500  0.000
Cu  0.250  0.250  0.250
Cu  0.250  0.250  0.750
Cu  0.250  0.750  0.250
Cu  0.250  0.750  0.750
Cu  0.750  0.250  0.250
Cu  0.750  0.250  0.750
Cu  0.750  0.750  0.250
Cu  0.750  0.750  0.750
Br  0.000  0.000  0.500
Br  0.000  0.500  0.000
Br  0.500  0.000  0.000
Br  0.500  0.500  0.500

***

Model R:
VASP calculation (PBE-GGA) on a relaxed AlCu2Br crystal.

Output
N(E_F): 0.90 states/eV/f.u.
Space-group type: Pmmm (47)

Cell lengths 3.125, 4.056, 5.811 Å; angles 90.00, 90.00, 90.00 degrees
Sites, in units of the cell vectors:
Al  0.000  0.000  0.000
Cu  0.000  0.500  0.500
Cu  0.500  0.500  0.000
Br  0.500  0.000  0.500

***

Here are the energies relative to the best structure, in meV per atom: model P 0; model Q 437; model R 184.

***

Model P:
VASP calculation (PBE-GGA) on a relaxed AlCu2Br crystal.

Output
N(E_F): 1.83 states/eV/f.u.
Space-group type: Cm (8)

Cell lengths 7.304, 4.153, 6.187 Å; angles 90.00, 109.78, 90.00 degrees
Sites, in units of the cell vectors:
Al  0.000  0.000  0.000
Al  0.500  0.500  0.000
Cu  0.132  0.500  0.881
Cu  0.290  0.000  0.843
Cu  0.632  0.000  0.881
Cu  0.790  0.500  0.843
Br  0.085  0.000  0.409
Br  0.585  0.500  0.409

***

Model Q:
VASP calculation (PBE-GGA) on a relaxed AlCu2Br crystal.

Output
N(E_F): 0.99 states/eV/f.u.
Space-group type: Imm2 (44)

Cell lengths 3.373, 3.619, 11.917 Å; angles 90.00, 90.00, 90.00 degrees
Sites, in units of the cell vectors:
Al  0.000  0.000  0.000
Al  0.500  0.500  0.500
Cu  0.000  0.000  0.475
Cu  0.000  0.500  0.332
Cu  0.500  0.000  0.832
Cu  0.500  0.500  0.975
Br  0.000  0.500  0.713
Br  0.500  0.000  0.213

***

Here are the energies relative to the best structure, in meV per atom: model P 0; model Q 186.

***

Model P:
VASP calculation (PBE-GGA) on a relaxed AlCu2Br crystal.

Output
N(E_F): 1.15 states/eV/f.u.
Space-group type: Cmmm (65)

Cell lengths 5.239, 7.935, 3.205 Å; angles 90.00, 90.00, 90.00 degrees
Sites, in units of the cell vectors:
Al  0.000  0.000  0.000
Al  0.500  0.500  0.000
Cu  0.250  0.250  0.500
Cu  0.250  0.750  0.500
Cu  0.750  0.250  0.500
Cu  0.750  0.750  0.500
Br  0.000  0.500  0.000
Br  0.500  0.000  0.000

***

Model Q:
VASP calculation (PBE-GGA) on a relaxed AlCu2Br crystal.

Output
N(E_F): 1.40 states/eV/f.u.
Space-group type: P4mm (99)

Cell lengths 3.215, 3.215, 6.758 Å; angles 90.00, 90.00, 90.00 degrees
Sites, in units of the cell vectors:
Al  0.000  0.000  0.000
Cu  0.000  0.000  0.627
Cu  0.500  0.500  0.830
Br  0.500  0.500  0.393

***

Model R:
VASP calculation (PBE-GGA) on a relaxed AlCu2Br crystal.

Output
N(E_F): 0.70 states/eV/f.u.
Space-group type: Immm (71)

Cell lengths 3.055, 5.762, 8.352 Å; angles 90.00, 90.00, 90.00 degrees
Sites, in units of the cell vectors:
Al  0.000  0.000  0.000
Al  0.500  0.500  0.500
Cu  0.000  0.500  0.264
Cu  0.000  0.500  0.736
Cu  0.500  0.000  0.236
Cu  0.500  0.000  0.764
Br  0.000  0.000  0.500
Br  0.500  0.500  0.000

***

Here are the energies relative to the best structure, in meV per atom: model P 135; model Q 0; model R 85.

***

Model P:
VASP calculation (PBE-GGA) on a relaxed AlCu2Br crystal.

Output
N(E_F): 1.36 states/eV/f.u.
Space-group type: I-4m2 (119)

Cell lengths 3.599, 3.599, 11.397 Å; angles 90.00, 90.00, 90.00 degrees
Sites, in units of the cell vectors:
Al  0.000  0.000  0.000
Al  0.500  0.500  0.500
Cu  0.000  0.000  0.500
Cu  0.000  0.500  0.250
Cu  0.500  0.000  0.750
Cu  0.500  0.500  0.000
Br  0.000  0.500  0.750
Br  0.500  0.000  0.250

***

Model Q:
VASP calculation (PBE-GGA) on a relaxed AlCu2Br crystal.

Output
N(E_F): 1.61 states/eV/f.u.
Space-group type: P2/m (10)

Cell lengths 3.256, 3.254, 6.634 Å; angles 90.00, 90.10, 90.00 degrees
Sites, in units of the cell vectors:
Al  0.000  0.000  0.000
Cu  0.499  0.500  0.810
Cu  0.501  0.500  0.190
Br  0.500  0.000  0.500

***

Model R:
VASP calculation (PBE-GGA) on a relaxed AlCu2Br crystal.

Output
N(E_F): 1.82 states/eV/f.u.
Space-group type: P4/mmm (123)

Cell lengths 4.629, 4.629, 3.156 Å; angles 90.00, 90.00, 90.00 degrees
Sites, in units of the cell vectors:
Al  0.000  0.000  0.000
Cu  0.000  0.500  0.500
Cu  0.500  0.000  0.500
Br  0.500  0.500  0.000

***

Model S:
VASP calculation (PBE-GGA) on a relaxed AlCu2Br crystal.

Output
N(E_F): 1.03 states/eV/f.u.
Space-group type: I4/mmm (139)

Cell lengths 3.992, 3.992, 8.657 Å; angles 90.00, 90.00, 90.00 degrees
Sites, in units of the cell vectors:
Al  0.000  0.000  0.000
Al  0.500  0.500  0.500
Cu  0.000  0.500  0.250
Cu  0.000  0.500  0.750
Cu  0.500  0.000  0.250
Cu  0.500  0.000  0.750
Br  0.000  0.000  0.500
Br  0.500  0.500  0.000

***

Here are the energies relative to the best structure, in meV per atom: model P 224; model Q 0; model R 359; model S 388.

***

Model P:
VASP calculation (PBE-GGA) on a relaxed AlCu2Br crystal.

Output
N(E_F): 1.57 states/eV/f.u.
Space-group type: Pmm2 (25)

Cell lengths 3.464, 3.758, 6.173 Å; angles 90.00, 90.00, 90.00 degrees
Sites, in units of the cell vectors:
Al  0.000  0.000  0.000
Cu  0.000  0.500  0.733
Cu  0.500  0.500  0.028
Br  0.500  0.500  0.448

***

Model Q:
VASP calculation (PBE-GGA) on a relaxed AlCu2Br crystal.

Output
N(E_F): 0.12 states/eV/f.u.
Space-group type: I-42d (122)

Cell lengths 6.340, 6.340, 8.294 Å; angles 90.00, 90.00, 90.00 degrees
Sites, in units of the cell vectors:
Al  0.000  0.000  0.000
Al  0.000  0.500  0.250
Al  0.500  0.000  0.750
Al  0.500  0.500  0.500
Cu  0.239  0.250  0.125
Cu  0.250  0.739  0.375
Cu  0.250  0.761  0.875
Cu  0.261  0.250  0.625
Cu  0.739  0.750  0.625
Cu  0.750  0.239  0.875
Cu  0.750  0.261  0.375
Cu  0.761  0.750  0.125
Br  0.000  0.000  0.500
Br  0.000  0.500  0.750
Br  0.500  0.000  0.250
Br  0.500  0.500  0.000

***

Model R:
VASP calculation (PBE-GGA) on a relaxed AlCu2Br crystal.

Output
N(E_F): 1.65 states/eV/f.u.
Space-group type: R-3m (166)

Cell lengths 3.326, 3.326, 21.722 Å; angles 90.00, 90.00, 120.00 degrees
Sites, in units of the cell vectors:
Al  0.000  0.000  0.000
Al  0.333  0.667  0.667
Al  0.667  0.333  0.333
Cu  0.000  0.000  0.254
Cu  0.000  0.000  0.746
Cu  0.333  0.667  0.413
Cu  0.333  0.667  0.920
Cu  0.667  0.333  0.080
Cu  0.667  0.333  0.587
Br  0.000  0.000  0.500
Br  0.333  0.667  0.167
Br  0.667  0.333  0.833

***

Here are the energies relative to the best structure, in meV per atom: model P 0; model Q 189; model R 53.

***

Model P:
VASP calculation (PBE-GGA) on a relaxed Al3CuBr crystal.

Output
N(E_F): 1.95 states/eV/f.u.
Space-group type: Pm-3m (221)

Cell lengths 4.724, 4.724, 4.724 Å; angles 90.00, 90.00, 90.00 degrees
Sites, in units of the cell vectors:
Al  0.000  0.000  0.500
Al  0.000  0.500  0.000
Al  0.500  0.000  0.000
Cu  0.000  0.000  0.000
Br  0.500  0.500  0.500

***

Model Q:
VASP calculation (PBE-GGA) on a relaxed Al3CuBr crystal.

Output
N(E_F): 2.19 states/eV/f.u.
Space-group type: Pm-3m (221)

Cell lengths 5.328, 5.328, 5.328 Å; angles 90.00, 90.00, 90.00 degrees
Sites, in units of the cell vectors:
Al  0.000  0.000  0.500
Al  0.000  0.500  0.000
Al  0.500  0.000  0.000
Cu  0.500  0.500  0.500
Br  0.000  0.000  0.000

***

Here are the energies relative to the best structure, in meV per atom: model P 0; model Q 1068.

***

Model P:
VASP calculation (PBE-GGA) on a relaxed Dy2AlBr crystal.

Output
N(E_F): 1.76 states/eV/f.u.
Space-group type: R3m (160)

Cell lengths 3.652, 3.652, 26.494 Å; angles 90.00, 90.00, 120.00 degrees
Sites, in units of the cell vectors:
Dy  0.000  0.000  0.000
Dy  0.000  0.000  0.172
Dy  0.333  0.667  0.667
Dy  0.333  0.667  0.839
Dy  0.667  0.333  0.333
Dy  0.667  0.333  0.506
Al  0.000  0.000  0.586
Al  0.333  0.667  0.253
Al  0.667  0.333  0.920
Br  0.000  0.000  0.418
Br  0.333  0.667  0.085
Br  0.667  0.333  0.751

***

Model Q:
VASP calculation (PBE-GGA) on a relaxed Dy2AlBr crystal.

Output
N(E_F): 3.03 states/eV/f.u.
Space-group type: P4/mmm (123)

Cell lengths 3.443, 3.443, 8.341 Å; angles 90.00, 90.00, 90.00 degrees
Sites, in units of the cell vectors:
Dy  0.000  0.000  0.226
Dy  0.000  0.000  0.774
Al  0.500  0.500  0.000
Br  0.500  0.500  0.500

***

Model R:
VASP calculation (PBE-GGA) on a relaxed Dy2AlBr crystal.

Output
N(E_F): 3.98 states/eV/f.u.
Space-group type: R-3m (166)

Cell lengths 3.460, 3.460, 32.394 Å; angles 90.00, 90.00, 120.00 degrees
Sites, in units of the cell vectors:
Dy  0.000  0.000  0.094
Dy  0.000  0.000  0.906
Dy  0.333  0.667  0.573
Dy  0.333  0.667  0.760
Dy  0.667  0.333  0.240
Dy  0.667  0.333  0.427
Al  0.000  0.000  0.000
Al  0.333  0.667  0.667
Al  0.667  0.333  0.333
Br  0.000  0.000  0.500
Br  0.333  0.667  0.167
Br  0.667  0.333  0.833

***

Here are the energies relative to the best structure, in meV per atom: model P 0; model Q 26; model R 481.